This record from Alexandria describes an optimized crystal structure of EuCdPdPb. The functional is PBE.

Space-group type: F-43m
D(E_F) in states/eV/cell: 14.05
E_tot in eV per atom: -5.39

a = 5.1572 Å, b = 5.1572 Å, c = 5.1572 Å
α = 60.00°, β = 60.00°, γ = 60.00°
Closest atoms and distances in Å follow each position.
Positions (direct):
Eu 0.2500 0.2500 0.2500  4 Pd 3.16, 4 Cd 3.16
Cd 0.5000 0.5000 0.5000  4 Eu 3.16, 4 Pb 3.16
Pd 0.0000 0.0000 0.0000  4 Pb 3.16, 4 Eu 3.16
Pb 0.7500 0.7500 0.7500  4 Pd 3.16, 4 Cd 3.16